[1]
A geometry-optimized DyBeIr structure. Source: Alexandria via LeMat-Bulk, functional PBE-GGA.

Computed properties:
ΔH_f (0 K): -0.479 eV/atom
Distance to the lowest polymorph of the same formula: 55 kJ/mol of formula units

Lattice parameters (Å, degrees): 3.583 9.406 10.117 104.03 90.00 100.98
Element x y z (fractional)
Ir (0.115, 0.805, 0.068)
Ir (0.690, 0.805, 0.568)
Ir (0.885, 0.195, 0.932)
Ir (0.000, 0.500, 0.000)
Ir (0.310, 0.195, 0.432)
Ir (0.500, 0.500, 0.500)
Dy (0.586, 0.675, 0.845)
Dy (0.089, 0.675, 0.345)
Dy (0.911, 0.325, 0.655)
Dy (0.414, 0.325, 0.155)
Dy (0.679, 0.000, 0.250)
Dy (0.321, 0.000, 0.750)
Be (0.430, 0.348, 0.892)
Be (0.000, 0.000, 0.000)
Be (0.918, 0.348, 0.392)
Be (0.570, 0.652, 0.108)
Be (0.000, 0.000, 0.500)
Be (0.082, 0.652, 0.608)


[2]
A geometry-optimized Na2PrIrO6 structure. Source: Alexandria via LeMat-Bulk, functional PBE-GGA.

Computed properties:
Formation energy from raw total energies: -1.583 eV per atom

Lattice parameters (Å, degrees): 5.731 5.884 8.214 90.00 90.69 90.00
Element x y z (fractional)
Na (0.512, 0.543, 0.751)
Na (0.012, 0.957, 0.251)
Na (0.488, 0.457, 0.249)
Na (0.988, 0.043, 0.749)
Ir (0.500, 0.000, 0.500)
Ir (0.000, 0.500, 0.000)
O (0.099, 0.465, 0.779)
O (0.169, 0.230, 0.058)
O (0.772, 0.823, 0.549)
O (0.331, 0.730, 0.442)
O (0.669, 0.270, 0.558)
O (0.272, 0.677, 0.049)
O (0.901, 0.535, 0.221)
O (0.401, 0.965, 0.721)
O (0.728, 0.323, 0.951)
O (0.831, 0.770, 0.942)
O (0.599, 0.035, 0.279)
O (0.228, 0.177, 0.451)
Pr (0.500, 0.000, 0.000)
Pr (0.000, 0.500, 0.500)


Quick rundown of M_tot, same order as above: 0.0000, 0.0030 μB per atom